3
Lattice="-1.9145 1.9145 4.8786 1.9145 -1.9145 4.8786 1.9145 1.9145 -4.8786" Properties=species:S:1:pos:R:3 comment="GGA-PBE SmCdAu, relaxed" dft_energy_ev_per_atom=-3.480 e_form_ev_per_atom=-0.509 mass_density_kg_m3=10673 spacegroup=I4mm pbc="T T T"
Sm 0.0000 0.0000 0.0000
Cd 0.0000 0.0000 3.1088
Au 0.0000 0.0000 6.4909